[1]
DFT (PBE) results for a relaxed DyUCSe2 crystal.

Summary:
- Mass density: 8.553 g/cm³
- Formation energy (no corrections): -106 kJ/mol of atoms

Unit cell a=3.915 b=3.915 c=14.448 alpha=90.00 beta=90.00 gamma=90.00
Space group P4/nmm (No. 129, origin choice 2)
Symmetry-distinct sites (fractional):
Dy: 0.250 0.250 0.123 [2 per cell]
U: 0.250 0.250 0.581 [2 per cell]
C: 0.250 0.750 0.500 [2 per cell]
Se: 0.250 0.250 0.314 [2 per cell]
Se: 0.250 0.250 0.910 [2 per cell]

[2]
DFT (PBE) results for a relaxed Sc2MnCo crystal.

Summary:
- Formation energy from the elements: -0.40 eV per formula unit
- Mass density: 5.166 g/cm³

Unit cell a=4.523 b=4.523 c=3.202 alpha=90.00 beta=90.00 gamma=90.00
Space group P4/mmm (No. 123)
Symmetry-distinct sites (fractional):
Sc: 0.000 0.500 0.000 [2 per cell]
Mn: 0.000 0.000 0.500 [1 per cell]
Co: 0.500 0.500 0.500 [1 per cell]

[3]
DFT (PBE) results for a relaxed Pr2YN crystal.

Summary:
- Mass density: 5.784 g/cm³
- Formation energy (no corrections): -49 kJ/mol of atoms

Unit cell a=3.6123 b=3.6123 c=29.3207 alpha=90.00 beta=90.00 gamma=120.00
Space group R-3m (No. 166, hexagonal axes)
Symmetry-distinct sites (fractional):
Pr: 0.0000 0.0000 0.1189 [6 per cell]
Y: 0.0000 0.0000 0.0000 [3 per cell]
N: 0.0000 0.0000 0.5000 [3 per cell]

[4]
DFT (PBE) results for a relaxed NaCu6Se4 crystal.

Summary:
- Energy above the most stable polymorph in this dataset: 0.00 eV per formula unit
- Mass density: 6.001 g/cm³
- Formation energy (no corrections): -22 kJ/mol of atoms

Unit cell a=3.928 b=3.928 c=25.831 alpha=90.00 beta=90.00 gamma=90.00
Space group I4/mmm (No. 139)
Symmetry-distinct sites (fractional):
Na: 0.000 0.000 0.000 [2 per cell]
Cu: 0.000 0.500 0.123 [8 per cell]
Cu: 0.000 0.500 0.250 [4 per cell]
Se: 0.000 0.000 0.189 [4 per cell]
Se: 0.000 0.000 0.432 [4 per cell]

[5]
DFT (PBE) results for a relaxed TiBe4Ru crystal.

Summary:
- Formation energy from the elements: -3.26 eV per formula unit
- Mass density: 5.120 g/cm³

Unit cell a=6.214 b=6.214 c=6.214 alpha=90.00 beta=90.00 gamma=90.00
Space group F-43m (No. 216)
Symmetry-distinct sites (fractional):
Ti: 0.000 0.000 0.000 [4 per cell]
Be: 0.124 0.124 0.624 [16 per cell]
Ru: 0.250 0.250 0.250 [4 per cell]

[6]
DFT (PBE) results for a relaxed ErSc3In crystal.

Summary:
- Formation energy from the elements: -0.76 eV per formula unit
- Energy above the most stable polymorph in this dataset: 0.00 eV per formula unit
- Mass density: 5.486 g/cm³

Unit cell a=11.282 b=5.156 c=9.178 alpha=90.00 beta=108.99 gamma=90.00
Space group C2/m (No. 12)
Symmetry-distinct sites (fractional):
Er: 0.056 0.000 0.354 [4 per cell]
Sc: 0.141 0.500 0.595 [4 per cell]
Sc: 0.158 0.000 0.037 [4 per cell]
Sc: 0.223 0.500 0.268 [4 per cell]
In: 0.057 0.500 0.874 [4 per cell]

[7]
DFT (PBE) results for a relaxed CeGdGe2 crystal.

Summary:
- Formation energy from the elements: -2.62 eV per formula unit
- Energy above the most stable polymorph in this dataset: 0.00 eV per formula unit
- Mass density: 7.952 g/cm³

Unit cell a=3.358 b=3.358 c=8.198 alpha=90.00 beta=90.00 gamma=90.00
Space group P4/mmm (No. 123)
Symmetry-distinct sites (fractional):
Ce: 0.000 0.000 0.000 [1 per cell]
Gd: 0.000 0.000 0.500 [1 per cell]
Ge: 0.500 0.500 0.252 [2 per cell]

[8]
DFT (PBE) results for a relaxed CsGeIr2 crystal.

Summary:
- Formation energy from the elements: 5.35 eV per formula unit
- Mass density: 12.511 g/cm³

Unit cell a=6.791 b=6.791 c=6.791 alpha=90.00 beta=90.00 gamma=90.00
Space group Fm-3m (No. 225)
Symmetry-distinct sites (fractional):
Cs: 0.000 0.000 0.000 [4 per cell]
Ge: 0.000 0.000 0.500 [4 per cell]
Ir: 0.250 0.250 0.250 [8 per cell]